Record 1
## Th3FeBi2 (PBE)

Data for crystalline Th3FeBi2 at its relaxed geometry.

Unit cell a=6.6673 b=6.6673 c=8.3079 alpha=102.19 beta=102.19 gamma=78.67
Closest atoms and distances in Å follow each position.
Element x y z (fractional)
Th (0.1146, 0.8854, 0.7500)  1 Fe 2.41
Th (0.2703, 0.4450, 0.0336)  1 Fe 2.54
Th (0.4450, 0.2703, 0.5336)  1 Fe 2.54
Th (0.5550, 0.7297, 0.4664)  1 Fe 2.54
Th (0.7297, 0.5550, 0.9664)  1 Fe 2.54
Th (0.8854, 0.1146, 0.2500)  1 Fe 2.41
Fe (0.3995, 0.6005, 0.7500)  3 Th 2.41-2.54
Fe (0.6005, 0.3995, 0.2500)  3 Th 2.41-2.54
Bi (0.0290, 0.6366, 0.3491)  7 Th 3.26-3.62, 1 Fe 3.40, 1 Bi 3.52
Bi (0.3634, 0.9710, 0.1509)  7 Th 3.26-3.62, 1 Fe 3.40, 1 Bi 3.52
Bi (0.6366, 0.0290, 0.8491)  7 Th 3.26-3.62, 1 Fe 3.40, 1 Bi 3.52
Bi (0.9710, 0.3634, 0.6509)  7 Th 3.26-3.62, 1 Fe 3.40, 1 Bi 3.52

For the magnetization, the calculation gives 0.0000 μB per atom. Its distance to the lowest polymorph of the same formula is 48 meV/atom.



Record 2
## Th3FeBi (PBE)

Data for crystalline Th3FeBi at its relaxed geometry.

Unit cell a=5.2628 b=5.2628 c=5.2628 alpha=90.00 beta=90.00 gamma=90.00
Closest atoms and distances in Å follow each position.
Element x y z (fractional)
Th (0.0000, 0.0000, 0.5000)  2 Fe 2.63
Th (0.0000, 0.5000, 0.0000)  2 Fe 2.63
Th (0.5000, 0.0000, 0.0000)  2 Fe 2.63
Fe (0.0000, 0.0000, 0.0000)  6 Th 2.63
Bi (0.5000, 0.5000, 0.5000)  12 Th 3.72

For the magnetization, the calculation gives 0.0000 μB per atom. Its distance to the lowest polymorph of the same formula is 74 meV/atom.



Record 3
## Th12FeBi6 (PBE)

Data for crystalline Th12FeBi6 at its relaxed geometry.

Unit cell a=8.7469 b=8.7469 c=8.7469 alpha=99.47 beta=99.47 gamma=99.47
Closest atoms and distances in Å follow each position.
Element x y z (fractional)
Th (0.0281, 0.0491, 0.3171)  1 Fe 2.70
Th (0.0491, 0.3171, 0.0281)  1 Fe 2.70
Th (0.2071, 0.5340, 0.4159)  4 Bi 3.25-3.39, 3 Th 3.53-3.60
Th (0.3171, 0.0281, 0.0491)  1 Fe 2.70
Th (0.4159, 0.2071, 0.5340)  4 Bi 3.25-3.39, 3 Th 3.53-3.60
Th (0.4660, 0.5841, 0.7929)  4 Bi 3.25-3.39, 3 Th 3.53-3.60
Th (0.5340, 0.4159, 0.2071)  4 Bi 3.25-3.39, 3 Th 3.53-3.60
Th (0.5841, 0.7929, 0.4660)  4 Bi 3.25-3.39, 3 Th 3.53-3.60
Th (0.6829, 0.9719, 0.9509)  1 Fe 2.70
Th (0.7929, 0.4660, 0.5841)  4 Bi 3.25-3.39, 3 Th 3.53-3.60
Th (0.9509, 0.6829, 0.9719)  1 Fe 2.70
Th (0.9719, 0.9509, 0.6829)  1 Fe 2.70
Fe (0.0000, 0.0000, 0.0000)  6 Th 2.70
Bi (0.1144, 0.3260, 0.6750)  7 Th 3.24-3.52
Bi (0.3250, 0.8856, 0.6740)  7 Th 3.24-3.52
Bi (0.3260, 0.6750, 0.1144)  7 Th 3.24-3.52
Bi (0.6740, 0.3250, 0.8856)  7 Th 3.24-3.52
Bi (0.6750, 0.1144, 0.3260)  7 Th 3.24-3.52
Bi (0.8856, 0.6740, 0.3250)  7 Th 3.24-3.52

For the magnetization, the calculation gives 0.0000 μB per atom.



Record 4
## Th5FeBi2 (PBE)

Data for crystalline Th5FeBi2 at its relaxed geometry.

Unit cell a=8.2781 b=12.7542 c=4.5578 alpha=90.00 beta=90.00 gamma=90.00
Closest atoms and distances in Å follow each position.
Element x y z (fractional)
Th (0.0000, 0.0000, 0.0000)  4 Bi 3.31, 4 Th 3.48
Th (0.1174, 0.3130, 0.0000)  1 Fe 2.58
Th (0.1956, 0.5582, 0.5000)  2 Fe 2.89
Th (0.3044, 0.0582, 0.5000)  2 Fe 2.89
Th (0.3826, 0.8130, 0.0000)  1 Fe 2.58
Th (0.5000, 0.5000, 0.0000)  4 Bi 3.31, 4 Th 3.48
Th (0.6174, 0.1870, 0.0000)  1 Fe 2.58
Th (0.6956, 0.9418, 0.5000)  2 Fe 2.89
Th (0.8044, 0.4418, 0.5000)  2 Fe 2.89
Th (0.8826, 0.6870, 0.0000)  1 Fe 2.58
Fe (0.0000, 0.5000, 0.0000)  2 Th 2.58
Fe (0.5000, 0.0000, 0.0000)  2 Th 2.58
Bi (0.0899, 0.8209, 0.5000)  9 Th 3.31-3.61
Bi (0.4101, 0.3209, 0.5000)  9 Th 3.31-3.61
Bi (0.5899, 0.6791, 0.5000)  9 Th 3.31-3.61
Bi (0.9101, 0.1791, 0.5000)  9 Th 3.31-3.61

For the magnetization, the calculation gives 0.0000 μB per atom. Its distance to the lowest polymorph of the same formula is 0 meV/atom.



Record 5
## Th5FeBi2 (PBE)

Data for crystalline Th5FeBi2 at its relaxed geometry.

Unit cell a=6.8882 b=6.8882 c=6.8882 alpha=113.15 beta=113.15 gamma=102.34
Closest atoms and distances in Å follow each position.
Element x y z (fractional)
Th (0.0000, 0.0000, 0.0000)  1 Fe 2.50
Th (0.4634, 0.4634, 0.5113)  1 Fe 2.62
Th (0.4634, 0.9521, 0.0000)  1 Fe 2.62
Th (0.9521, 0.4634, 0.0000)  1 Fe 2.62
Th (0.9521, 0.9521, 0.4887)  1 Fe 2.62
Fe (0.7107, 0.7107, 0.0000)  5 Th 2.50-2.62
Bi (0.4609, 0.9609, 0.5000)  10 Th 3.43-3.81
Bi (0.9609, 0.4609, 0.5000)  10 Th 3.43-3.81

For the magnetization, the calculation gives 0.0000 μB per atom. Its distance to the lowest polymorph of the same formula is 177 meV/atom.



Record 6
## Th6FeBi (PBE)

Data for crystalline Th6FeBi at its relaxed geometry.

Unit cell a=6.4525 b=6.4525 c=6.4525 alpha=101.60 beta=101.60 gamma=101.60
Closest atoms and distances in Å follow each position.
Element x y z (fractional)
Th (0.2083, 0.2083, 0.5906)  1 Fe 2.62
Th (0.2083, 0.5906, 0.2083)  1 Fe 2.62
Th (0.4094, 0.7917, 0.7917)  1 Fe 2.62
Th (0.5906, 0.2083, 0.2083)  1 Fe 2.62
Th (0.7917, 0.4094, 0.7917)  1 Fe 2.62
Th (0.7917, 0.7917, 0.4094)  1 Fe 2.62
Fe (0.5000, 0.5000, 0.5000)  6 Th 2.62
Bi (0.0000, 0.0000, 0.0000)  12 Th 3.57-3.65

For the magnetization, the calculation gives 0.0000 μB per atom. Its distance to the lowest polymorph of the same formula is 0 meV/atom.



| no. | electronic total energy (eV/cell) | energy of formation from the pure elements (kJ/mol of formula units) |
| --- | --- | --- |
| 1 | -80.3 | -160 |
| 2 | -35.9 | -123 |
| 3 | -123.6 | -267 |
| 4 | -112.1 | -261 |
| 5 | -54.6 | -125 |
| 6 | -57.2 | -32 |